DFT (PBE) results for an optimized crystal structure of SiAu4Se.

Cell: 5.538 5.538 5.538 Å, 60.00 60.00 60.00°
Fractional coordinates of all 6 atoms:
Au: 0.375 0.375 0.876
Se: 0.750 0.750 0.750
Au: 0.876 0.375 0.375
Au: 0.375 0.876 0.375
Au: 0.375 0.375 0.375
Si: 0.000 0.000 0.000

Calculated values
Volume (Å³ per atom): 20.02
Formation energy without anion corrections (eV/atom): 0.358
Size of the total moment (μB/atom): 0.000
DOS(E_F) (states/eV/cell): 1.18
Crystal system: cubic